1.
# CsCrIN2

An optimized crystal structure of CsCrIN2 (PBE-GGA, Alexandria via LeMat-Bulk).

Unit cell a=4.2962 b=4.2962 c=5.4639 alpha=90.00 beta=90.00 gamma=90.00
With the nearest neighbours (Å) after each atom.
Fractional coordinates of all 5 atoms:
Cs  0.0000  0.0000  0.0000  4 I 3.04
Cr  0.5000  0.5000  0.5000  4 N 2.15
I  0.5000  0.5000  0.0000  2 Cr 2.73, 4 Cs 3.04
N  0.0000  0.5000  0.5000  2 Cr 2.15
N  0.5000  0.0000  0.5000  2 Cr 2.15

SG	P4/mmm (123)

---

2.
# Cs3Na3CrI8

An optimized crystal structure of Cs3Na3CrI8 (PBE-GGA, Alexandria via LeMat-Bulk).

Unit cell a=10.3988 b=10.3988 c=10.3988 alpha=54.73 beta=54.73 gamma=54.73
With the nearest neighbours (Å) after each atom.
Fractional coordinates of all 15 atoms:
Cs  0.0000  0.5000  0.5000  6 I 3.82-3.83
Cs  0.5000  0.0000  0.5000  6 I 3.82-3.83
Cs  0.5000  0.5000  0.0000  6 I 3.82-3.83
Na  0.0000  0.0000  0.5000  6 I 3.27-3.34
Na  0.0000  0.5000  0.0000  6 I 3.27-3.34
Na  0.5000  0.0000  0.0000  6 I 3.27-3.34
Cr  0.5000  0.5000  0.5000  6 I 2.95
I  0.2332  0.2332  0.2332  3 Na 3.27
I  0.2639  0.7101  0.7101  1 Cr 2.95
I  0.2899  0.2899  0.7361  1 Cr 2.95
I  0.2899  0.7361  0.2899  1 Cr 2.95
I  0.7101  0.2639  0.7101  1 Cr 2.95
I  0.7101  0.7101  0.2639  1 Cr 2.95
I  0.7361  0.2899  0.2899  1 Cr 2.95
I  0.7668  0.7668  0.7668  3 Na 3.27

SG	R-3m (166)

---

3.
# Cs3NaCr2I9

An optimized crystal structure of Cs3NaCr2I9 (PBE-GGA, Alexandria via LeMat-Bulk).

Unit cell a=8.3008 b=8.3008 c=10.3041 alpha=90.00 beta=90.00 gamma=120.00
With the nearest neighbours (Å) after each atom.
Fractional coordinates of all 15 atoms:
Cs  0.0000  0.0000  0.0000  12 I 4.10-4.15
Cs  0.3333  0.6667  0.6662  12 I 4.16-4.28
Cs  0.6667  0.3333  0.3338  12 I 4.16-4.28
Na  0.0000  0.0000  0.5000  6 I 3.16
Cr  0.3333  0.6667  0.1636  6 I 2.76-2.93
Cr  0.6667  0.3333  0.8364  6 I 2.76-2.93
I  0.0000  0.5000  0.0000  2 Cr 2.93
I  0.1750  0.3500  0.3143  1 Cr 2.76
I  0.1750  0.8250  0.3143  1 Cr 2.76
I  0.3500  0.1750  0.6857  1 Cr 2.76
I  0.5000  0.0000  0.0000  2 Cr 2.93
I  0.5000  0.5000  0.0000  2 Cr 2.93
I  0.6500  0.8250  0.3143  1 Cr 2.76
I  0.8250  0.1750  0.6857  1 Cr 2.76
I  0.8250  0.6500  0.6857  1 Cr 2.76

SG	P-3m1 (164)

---

4.
# CsNa2CrI

An optimized crystal structure of CsNa2CrI (PBE-GGA, Alexandria via LeMat-Bulk).

Unit cell a=6.3939 b=6.3939 c=5.8969 alpha=90.00 beta=90.00 gamma=90.00
With the nearest neighbours (Å) after each atom.
Fractional coordinates of all 5 atoms:
Cs  0.0000  0.0000  0.0000  8 Na 4.35, 4 Cr 4.52
Na  0.0000  0.5000  0.5000  2 I 3.20
Na  0.5000  0.0000  0.5000  2 I 3.20
Cr  0.5000  0.5000  0.0000  2 I 2.95
I  0.5000  0.5000  0.5000  2 Cr 2.95, 4 Na 3.20

SG	P4/mmm (123)

---

5.
# Cs2NbCrI6

An optimized crystal structure of Cs2NbCrI6 (PBE-GGA, Alexandria via LeMat-Bulk).

Unit cell a=8.3030 b=8.3030 c=8.3030 alpha=60.00 beta=60.00 gamma=60.00
With the nearest neighbours (Å) after each atom.
Fractional coordinates of all 10 atoms:
Cs  0.2500  0.2500  0.2500  12 I 4.15
Cs  0.7500  0.7500  0.7500  12 I 4.15
Nb  0.0000  0.0000  0.0000  6 I 2.91
Cr  0.5000  0.5000  0.5000  6 I 2.96
I  0.2481  0.2481  0.7519  1 Nb 2.91, 1 Cr 2.96
I  0.2481  0.7519  0.2481  1 Nb 2.91, 1 Cr 2.96
I  0.2481  0.7519  0.7519  1 Nb 2.91, 1 Cr 2.96
I  0.7519  0.2481  0.2481  1 Nb 2.91, 1 Cr 2.96
I  0.7519  0.2481  0.7519  1 Nb 2.91, 1 Cr 2.96
I  0.7519  0.7519  0.2481  1 Nb 2.91, 1 Cr 2.96

SG	Fm-3m (225)

---

6.
# Cs2CrNiI6

An optimized crystal structure of Cs2CrNiI6 (PBE-GGA, Alexandria via LeMat-Bulk).

Unit cell a=8.0524 b=8.0524 c=8.0524 alpha=60.00 beta=60.00 gamma=60.00
With the nearest neighbours (Å) after each atom.
Fractional coordinates of all 10 atoms:
Cs  0.2500  0.2500  0.2500  12 I 4.03
Cs  0.7500  0.7500  0.7500  12 I 4.03
Cr  0.0000  0.0000  0.0000  6 I 2.85
Ni  0.5000  0.5000  0.5000  6 I 2.85
I  0.2499  0.2499  0.7501  1 Cr 2.85, 1 Ni 2.85
I  0.2499  0.7501  0.2499  1 Cr 2.85, 1 Ni 2.85
I  0.2499  0.7501  0.7501  1 Cr 2.85, 1 Ni 2.85
I  0.7501  0.2499  0.2499  1 Cr 2.85, 1 Ni 2.85
I  0.7501  0.2499  0.7501  1 Cr 2.85, 1 Ni 2.85
I  0.7501  0.7501  0.2499  1 Cr 2.85, 1 Ni 2.85

SG	Fm-3m (225)

---

Listing formation energy from raw total energies for the structures above in their given order: 1.045, -1.132, -0.922, 0.284, -0.705, -0.671 eV/atom.